# 1
# HfGe4Mo2 (GGA-PBE, optimized geometry)
# DOS at the Fermi energy (states/eV per cell): 14.84
# E_form (kJ/mol of atoms): 67
# Calculated density (g/cm3): 6.84
# DFT total energy (eV/atom): -6.4636
data_HfGe4Mo2
_chemical_formula_sum 'Hf2 Ge8 Mo4'
_symmetry_space_group_name_H-M 'I 4/m m m'
_symmetry_Int_Tables_number 139
_symmetry_space_group_name_Hall '-I 4 2'
_cell_length_a 4.985
_cell_length_b 4.985
_cell_length_c 12.922
_cell_angle_alpha 90.00
_cell_angle_beta 90.00
_cell_angle_gamma 90.00
loop_
_atom_site_label
_atom_site_fract_x
_atom_site_fract_y
_atom_site_fract_z
Hf1 0.000 0.000 0.000
Ge1 0.000 0.000 0.206
Ge2 0.000 0.500 0.000
Mo1 0.000 0.000 0.410

# 2
# Fe3TcS (GGA-PBE, optimized geometry)
# DOS at the Fermi energy (states/eV per cell): 7.74
# Formation energy from raw total energies (eV/atom): 1.564
# Calculated density (g/cm3): 5.46
# DFT total energy (eV/atom): -6.4119
data_Fe3TcS
_chemical_formula_sum 'Fe3 Tc1 S1'
_symmetry_space_group_name_H-M 'P m -3 m'
_symmetry_Int_Tables_number 221
_symmetry_space_group_name_Hall '-P 4 2 3'
_cell_length_a 4.491
_cell_length_b 4.491
_cell_length_c 4.491
_cell_angle_alpha 90.00
_cell_angle_beta 90.00
_cell_angle_gamma 90.00
loop_
_atom_site_label
_atom_site_fract_x
_atom_site_fract_y
_atom_site_fract_z
Fe1 0.000 0.000 0.500
Tc1 0.000 0.000 0.000
S1 0.500 0.500 0.500

# 3
# SrYbSi4N7 (GGA-PBE, optimized geometry)
# DOS at the Fermi energy (states/eV per cell): 26.93
# Formation energy from raw total energies (eV/atom): -1.137
# Calculated density (g/cm3): 4.99
# DFT total energy (eV/atom): -7.5351
data_SrYbSi4N7
_chemical_formula_sum 'Sr2 Yb2 Si8 N14'
_symmetry_space_group_name_H-M 'P 63 m c'
_symmetry_Int_Tables_number 186
_symmetry_space_group_name_Hall 'P 6c -2c'
_cell_length_a 6.0555
_cell_length_b 6.0555
_cell_length_c 9.8649
_cell_angle_alpha 90.00
_cell_angle_beta 90.00
_cell_angle_gamma 120.00
loop_
_atom_site_label
_atom_site_fract_x
_atom_site_fract_y
_atom_site_fract_z
Sr1 0.3333 0.6667 0.0000
Yb1 0.3333 0.6667 0.3687
Si1 0.0000 0.0000 0.4455
Si2 0.1739 0.3478 0.6790
N1 0.0000 0.0000 0.2556
N2 0.0231 0.5115 0.7307
N3 0.1526 0.3053 0.5062